Sc2CdCu: relaxed, PBE.

Symmetry: Pmm2 (25)
ΔH_f (0 K) (eV per atom): -0.2167

Unit cell a=4.814 b=3.428 c=4.830 alpha=90.01 beta=90.00 gamma=90.00
Fractional positions:
Sc  0.500  0.125  0.371
Sc  0.000  0.125  0.884
Cd  0.000  0.625  0.391
Cu  0.500  0.624  0.855